VASP calculation (PBE-GGA) on a relaxed La4Y6Sc crystal.

Computed properties:
energy relative to the elements: 0.1302 eV/atom

```
La4Y6Sc
1.0
-2.386 -4.420 2.874
4.942 -0.641 -2.709
12.713 7.122 21.505
La Sc Y
8 2 12
direct
0.533 0.067 0.877
0.533 0.067 0.623
0.156 0.312 0.453
0.467 0.933 0.377
0.467 0.933 0.123
0.844 0.688 0.953
0.844 0.688 0.547
0.156 0.312 0.047
0.816 0.633 0.250
0.184 0.367 0.750
0.809 0.617 0.388
0.482 0.964 0.250
0.500 0.000 0.500
0.856 0.712 0.685
0.144 0.288 0.185
0.500 0.000 0.000
0.191 0.383 0.612
0.856 0.712 0.815
0.809 0.617 0.112
0.144 0.288 0.315
0.518 0.036 0.750
0.191 0.383 0.888
```


VASP calculation (PBE-GGA) on a relaxed TaBeO3 crystal.

Computed properties:
uncorrected energy: -0.2858 Ha/atom

```
TaBeO3
1.0
3.390 0.000 0.000
0.000 3.390 0.000
0.000 0.000 3.390
O Ta Be
3 1 1
direct
0.500 0.000 0.000
0.000 0.500 0.000
0.000 0.000 0.500
0.500 0.500 0.500
0.000 0.000 0.000
```